VASP calculation (PBE) on an optimized crystal structure of AcZn2BRh2.

It has space group P4/mmm (No. 123), with a = 4.1950 Å, b = 4.1950 Å, c = 5.9237 Å, α = 90.00°, β = 90.00° and γ = 90.00°. Symmetry generates all atoms from Ac at (0.0000, 0.0000, 0.0000), Zn at (0.5000, 0.5000, 0.2305), B at (0.0000, 0.0000, 0.5000) and Rh at (0.0000, 0.5000, 0.5000).

As for the energy of formation from the pure elements: -0.536 eV per atom. The density of states at the Fermi level is 1.23 states/eV/cell. The total energy is -31.25 eV per cell.